Here is a crystal of La3SnC relaxed with PBEsol from Alexandria via LeMat-Bulk. Energies are from meta-GGA SCAN.

## Properties
DOS at the Fermi energy: 2.3 states/eV per cell
SG: No. 221
E_form: -0.61 eV/atom
final energy: -178.38 eV/f.u.
total magnetization: 0.0 μB per formula unit

a = 5.1466 Å, b = 5.1466 Å, c = 5.1466 Å
α = 90.00°, β = 90.00°, γ = 90.00°
Fractional positions:
1 La 0.0000 0.5000 0.0000
2 C 0.0000 0.0000 0.0000
3 La 0.5000 0.0000 0.0000
4 La 0.0000 0.0000 0.5000
5 Sn 0.5000 0.5000 0.5000